[1]
# Mg6PdRh2 GGA-PBE optimized geometry
# Energy relative to the elements (meV/atom): -441
# Raw total energy (eV per atom): -3.715
# Mass density (kg/m3): 4939
data_Mg6PdRh2
_symmetry_space_group_name_H-M 'P -3 m 1'
_symmetry_Int_Tables_number 164
_symmetry_space_group_name_Hall '-P 3 2"'
_cell_length_a 4.5526
_cell_length_b 4.5526
_cell_length_c 8.5796
_cell_angle_alpha 90.00
_cell_angle_beta 90.00
_cell_angle_gamma 120.00
loop_
_atom_site_label
_atom_site_fract_x
_atom_site_fract_y
_atom_site_fract_z
Mg1 0.0000 0.0000 0.1997
Mg2 0.3333 0.6667 0.0629
Mg3 0.3333 0.6667 0.4063
Pd1 0.0000 0.0000 0.5000
Rh1 0.3333 0.6667 0.7399



[2]
# Mg3PdRh2 GGA-PBE optimized geometry
# Energy relative to the elements (meV/atom): -589
# Raw total energy (eV per atom): -4.702
# ΔE to the lowest computed polymorph (meV/atom): 0
# Mass density (kg/m3): 6915
data_Mg3PdRh2
_symmetry_space_group_name_H-M 'C m m m'
_symmetry_Int_Tables_number 65
_symmetry_space_group_name_Hall '-C 2 2'
_cell_length_a 4.4063
_cell_length_b 13.2212
_cell_length_c 3.1751
_cell_angle_alpha 90.00
_cell_angle_beta 90.00
_cell_angle_gamma 90.00
loop_
_atom_site_label
_atom_site_fract_x
_atom_site_fract_y
_atom_site_fract_z
Mg1 0.0000 0.0000 0.0000
Mg2 0.0000 0.3303 0.0000
Pd1 0.0000 0.5000 0.5000
Rh1 0.0000 0.1648 0.5000



[3]
# MgPdRh2 GGA-PBE optimized geometry
# Energy relative to the elements (meV/atom): 101
# Raw total energy (eV per atom): -5.272
# Mass density (kg/m3): 8542
data_MgPdRh2
_symmetry_space_group_name_H-M 'I -4 2 d'
_symmetry_Int_Tables_number 122
_symmetry_space_group_name_Hall 'I -4 2bw'
_cell_length_a 3.7123
_cell_length_b 3.7123
_cell_length_c 18.9895
_cell_angle_alpha 90.00
_cell_angle_beta 90.00
_cell_angle_gamma 90.00
loop_
_atom_site_label
_atom_site_fract_x
_atom_site_fract_y
_atom_site_fract_z
Mg1 0.0000 0.0000 0.0000
Pd1 0.0000 0.0000 0.5000
Rh1 0.2477 0.2500 0.6250



Calculated magnetic moment, 0.000 0.000 0.855 μB per formula unit (same order as the records).
Calculated N(E_F), 0.3822 0.4628 1.3013 states/eV/atom (same order as the records).